# Pr4Sm11Ho9

An optimized crystal structure of Pr4Sm11Ho9 (GGA-PBE, the Alexandria database).

As for the symmetry: Cmmm. The energy of formation from the pure elements is 0.07 eV per atom. Its crystal system is orthorhombic. The calculation puts the energy at -110.65 eV per cell. The spin magnetization is 0.000 μB/atom.

POSCAR file:
```
Pr4Sm11Ho9
1.0
3.7156 0.0000 0.0000
0.0000 14.0777 -5.9703
0.0000 0.0424 15.2913
Ho Pr Sm
9 4 11
direct
0.5000 0.2110 0.0651 Ho
0.5000 0.0651 0.2110 Ho
0.5000 0.8372 0.3649 Ho
0.5000 0.5000 0.5000 Ho
0.5000 0.1628 0.6351 Ho
0.5000 0.7890 0.9349 Ho
0.5000 0.9349 0.7890 Ho
0.5000 0.6351 0.1628 Ho
0.5000 0.3649 0.8372 Ho
0.5000 0.5542 0.7556 Pr
0.5000 0.4458 0.2444 Pr
0.5000 0.7556 0.5542 Pr
0.5000 0.2444 0.4458 Pr
0.0000 0.0000 0.0000 Sm
0.0000 0.6348 0.3652 Sm
0.0000 0.7113 0.7113 Sm
0.0000 0.5931 0.9556 Sm
0.0000 0.4069 0.0444 Sm
0.0000 0.0444 0.4069 Sm
0.0000 0.9556 0.5931 Sm
0.0000 0.1590 0.8410 Sm
0.0000 0.2887 0.2887 Sm
0.0000 0.3652 0.6348 Sm
0.0000 0.8410 0.1590 Sm
```